Crystalline Hf4Sn2N at its relaxed geometry. Source: the Alexandria database, functional PBE.

Summary:
DOS at the Fermi energy: 3.3 states/eV per cell
Volume: 141.35 Å³ per cell
Energy relative to the elements, uncorrected: -0.645 eV/atom
Spin magnetization: 0.00 μB per formula unit

Lattice parameters (Å, degrees): 8.1153 8.1153 8.1153 149.00 149.00 44.41
Closest atoms and distances in Å follow each position.
Fractional coordinates of all 7 atoms:
Hf 0.0000 0.5000 0.5000  2 N 2.17
Hf 0.1542 0.1542 0.0000  1 N 2.32
Hf 0.5000 0.0000 0.5000  2 N 2.17
Hf 0.8458 0.8458 0.0000  1 N 2.32
Sn 0.3514 0.3514 0.0000  9 Hf 2.96-3.11
Sn 0.6486 0.6486 0.0000  9 Hf 2.96-3.11
N 0.0000 0.0000 0.0000  6 Hf 2.17-2.32